Record 1
A relaxed TcRh5 crystal, computed with GGA-PBE.

Properties
The value obtained for the formation energy is -0.0552 eV/atom. The value obtained for the total energy is -94.91 eV per cell. Its energy relative to the lowest polymorph listed for this composition is 0.05 eV/f.u. For the density of states at the Fermi level, the calculation gives 1.24 states/eV per atom.

CIF file:
```
data_TcRh5
_cell_length_a 9.998
_cell_length_b 2.735
_cell_length_c 6.439
_cell_angle_alpha 90.00
_cell_angle_beta 104.33
_cell_angle_gamma 90.00
_symmetry_space_group_name_H-M 'C 1 m 1'
_symmetry_Int_Tables_number 8
_symmetry_space_group_name_Hall 'C -2y'
loop_
_atom_site_label
_atom_site_fract_x
_atom_site_fract_y
_atom_site_fract_z
Tc1 0.000 0.000 0.000
Rh1 0.109 0.500 0.725
Rh2 0.163 0.500 0.324
Rh3 0.280 0.000 0.053
Rh4 0.336 0.000 0.670
Rh5 0.445 0.500 0.387
```

Record 2
A relaxed TcRh5 crystal, computed with GGA-PBE.

Properties
The value obtained for the formation energy is -0.0426 eV/atom. The value obtained for the total energy is -47.38 eV per cell. Its energy relative to the lowest polymorph listed for this composition is 0.12 eV/f.u. For the density of states at the Fermi level, the calculation gives 1.25 states/eV per atom.

CIF file:
```
data_TcRh5
_cell_length_a 2.718
_cell_length_b 2.718
_cell_length_c 11.551
_cell_angle_alpha 90.00
_cell_angle_beta 90.00
_cell_angle_gamma 90.00
_symmetry_space_group_name_H-M 'P 4/m m m'
_symmetry_Int_Tables_number 123
_symmetry_space_group_name_Hall '-P 4 2'
loop_
_atom_site_label
_atom_site_fract_x
_atom_site_fract_y
_atom_site_fract_z
Tc1 0.000 0.000 0.000
Rh1 0.000 0.000 0.336
Rh2 0.500 0.500 0.163
Rh3 0.500 0.500 0.500
```

Record 3
A relaxed TcRh3 crystal, computed with GGA-PBE.

Properties
The value obtained for the formation energy is -0.0421 eV/atom. The value obtained for the total energy is -65.18 eV per cell. For the density of states at the Fermi level, the calculation gives 1.30 states/eV per atom.

CIF file:
```
data_TcRh3
_cell_length_a 9.030
_cell_length_b 2.711
_cell_length_c 4.714
_cell_angle_alpha 90.00
_cell_angle_beta 99.85
_cell_angle_gamma 90.00
_symmetry_space_group_name_H-M 'C 1 2/m 1'
_symmetry_Int_Tables_number 12
_symmetry_space_group_name_Hall '-C 2y'
loop_
_atom_site_label
_atom_site_fract_x
_atom_site_fract_y
_atom_site_fract_z
Tc1 0.000 0.000 0.000
Rh1 0.000 0.500 0.500
Rh2 0.248 0.500 0.246
```